No. 1
Dy3HoRh8 | PBE | relaxed

Summary:
* ρ: 11.4 Mg/m³

Cell lengths 9.233, 9.233, 9.233 Å; angles 33.58, 33.58, 33.58 degrees
Sites, in units of the cell vectors:
Dy (0.000, 0.000, 0.000)
Dy (0.125, 0.125, 0.125)
Dy (0.500, 0.500, 0.500)
Ho (0.625, 0.625, 0.625)
Rh (0.063, 0.063, 0.563)
Rh (0.063, 0.563, 0.063)
Rh (0.063, 0.563, 0.563)
Rh (0.313, 0.313, 0.313)
Rh (0.563, 0.063, 0.063)
Rh (0.563, 0.063, 0.563)
Rh (0.563, 0.563, 0.063)
Rh (0.813, 0.813, 0.813)

***

No. 2
DyHo3Rh3 | PBE | relaxed

Summary:
* ρ: 10.1 Mg/m³

Cell lengths 6.899, 6.899, 6.682 Å; angles 90.06, 90.06, 90.33 degrees
Sites, in units of the cell vectors:
Dy (0.249, 0.249, 0.001)
Dy (0.751, 0.751, 0.999)
Ho (0.242, 0.758, 0.000)
Ho (0.245, 0.245, 0.501)
Ho (0.246, 0.754, 0.500)
Ho (0.754, 0.246, 0.500)
Ho (0.755, 0.755, 0.499)
Ho (0.758, 0.242, 0.000)
Rh (0.000, 0.000, 0.250)
Rh (0.000, 0.000, 0.750)
Rh (0.000, 0.500, 0.251)
Rh (0.000, 0.500, 0.749)
Rh (0.500, 0.000, 0.251)
Rh (0.500, 0.000, 0.749)

***

No. 3
Dy3Ho4Rh4 | PBE | relaxed

Summary:
* ρ: 9.9 Mg/m³

Cell lengths 9.240, 9.240, 9.240 Å; angles 156.68, 122.93, 62.49 degrees
Sites, in units of the cell vectors:
Dy (0.000, 0.000, 0.000)
Dy (0.397, 0.897, 0.500)
Dy (0.603, 0.103, 0.500)
Ho (0.022, 0.335, 0.687)
Ho (0.353, 0.665, 0.687)
Ho (0.647, 0.335, 0.313)
Ho (0.978, 0.665, 0.313)
Rh (0.250, 0.250, 0.000)
Rh (0.289, 0.500, 0.789)
Rh (0.711, 0.500, 0.211)
Rh (0.750, 0.750, 0.000)

***

No. 4
DyHo2Rh3 | PBE | relaxed

Summary:
* polymorph energy (0 for the lowest one): 3 meV per atom
* ρ: 11.1 Mg/m³

Cell lengths 3.416, 3.416, 10.242 Å; angles 90.00, 90.00, 90.00 degrees
Sites, in units of the cell vectors:
Dy (0.000, 0.000, 0.000)
Ho (0.000, 0.000, 0.334)
Ho (0.000, 0.000, 0.666)
Rh (0.500, 0.500, 0.168)
Rh (0.500, 0.500, 0.500)
Rh (0.500, 0.500, 0.832)

***

No. 5
Dy2HoRh9 | PBE | relaxed

Summary:
* ρ: 11.2 Mg/m³

Cell lengths 9.289, 9.289, 9.289 Å; angles 32.83, 32.83, 32.83 degrees
Sites, in units of the cell vectors:
Dy (0.139, 0.139, 0.139)
Dy (0.861, 0.861, 0.861)
Ho (0.000, 0.000, 0.000)
Rh (0.082, 0.583, 0.583)
Rh (0.333, 0.333, 0.333)
Rh (0.417, 0.417, 0.918)
Rh (0.417, 0.918, 0.417)
Rh (0.500, 0.500, 0.500)
Rh (0.583, 0.082, 0.583)
Rh (0.583, 0.583, 0.082)
Rh (0.667, 0.667, 0.667)
Rh (0.918, 0.417, 0.417)

***

No. 6
Dy3HoRh3 | PBE | relaxed

Summary:
* ρ: 10.0 Mg/m³

Cell lengths 6.912, 6.912, 6.703 Å; angles 90.00, 90.00, 90.37 degrees
Sites, in units of the cell vectors:
Dy (0.245, 0.245, 0.000)
Dy (0.246, 0.754, 0.000)
Dy (0.249, 0.249, 0.500)
Dy (0.751, 0.751, 0.500)
Dy (0.754, 0.246, 0.000)
Dy (0.755, 0.755, 0.000)
Ho (0.241, 0.759, 0.500)
Ho (0.759, 0.241, 0.500)
Rh (0.000, 0.000, 0.250)
Rh (0.000, 0.000, 0.750)
Rh (0.000, 0.500, 0.251)
Rh (0.000, 0.500, 0.749)
Rh (0.500, 0.000, 0.251)
Rh (0.500, 0.000, 0.749)

***

No. 7
DyHoRuRh | PBE | relaxed

Summary:
* ρ: 11.2 Mg/m³

Cell lengths 3.397, 4.815, 4.815 Å; angles 90.00, 90.00, 90.00 degrees
Sites, in units of the cell vectors:
Dy (0.000, 0.000, 0.000)
Ho (0.000, 0.500, 0.500)
Ru (0.500, 0.000, 0.500)
Rh (0.500, 0.500, 0.000)

***

No. 8
DyHoRuRh | PBE | relaxed

Summary:
* ρ: 11.2 Mg/m³

Cell lengths 4.813, 4.813, 4.813 Å; angles 60.00, 60.00, 60.00 degrees
Sites, in units of the cell vectors:
Dy (0.000, 0.000, 0.000)
Ho (0.500, 0.500, 0.500)
Ru (0.750, 0.750, 0.750)
Rh (0.250, 0.250, 0.250)

***

What did we get for energy relative to the elements? Answer: -0.752 -0.741 -0.652 -0.895 -0.569 -0.729 -0.641 -0.643 eV/atom, in the order shown.